(1)
A plane-wave DFT calculation with PBE-GGA was carried out for SrTcHg2 after structural relaxation.

Cell lengths 5.698, 5.698, 5.698 Å; angles 134.32, 134.32, 66.59 degrees
Positions (direct):
Sr1 0.000 0.000 0.000
Tc1 0.250 0.750 0.500
Hg1 0.500 0.500 0.000
Hg2 0.750 0.250 0.500

## Properties
For the energy above the most stable polymorph in this dataset, the calculation gives 161 meV per atom. Its density of states at the Fermi level is 4.36 states/eV per cell. The size of the total moment is 1.631 Bohr magnetons per cell. The symmetry is I-4m2, No. 119.

***

(2)
A plane-wave DFT calculation with PBE-GGA was carried out for LiTe2Se after structural relaxation.

Cell lengths 5.199, 5.199, 5.199 Å; angles 60.00, 60.00, 60.00 degrees
Positions (direct):
Li1 0.000 0.000 0.000
Te1 0.250 0.250 0.250
Te2 0.500 0.500 0.500
Se1 0.750 0.750 0.750

## Properties
Its density of states at the Fermi level is 1.98 states/eV per cell. For the total energy, the calculation gives -11.68 eV/cell. The size of the total moment is 0.000 Bohr magnetons per cell. The symmetry is F-43m, No. 216.

***

(3)
A plane-wave DFT calculation with PBE-GGA was carried out for ErInSnHg after structural relaxation.

Cell lengths 4.524, 4.557, 4.764 Å; angles 90.00, 90.00, 90.00 degrees
Positions (direct):
Er1 0.000 0.000 0.000
In1 0.000 0.500 0.500
Sn1 0.500 0.500 0.000
Hg1 0.500 0.000 0.500

## Properties
For the energy above the most stable polymorph in this dataset, the calculation gives 0 meV per atom. Its density of states at the Fermi level is 1.12 states/eV per cell. The size of the total moment is 0.000 Bohr magnetons per cell. The symmetry is Pmmm, No. 47.

***

(4)
A plane-wave DFT calculation with PBE-GGA was carried out for NaSrBe2H8 after structural relaxation.

Cell lengths 7.144, 7.144, 7.144 Å; angles 37.34, 37.34, 37.34 degrees
Positions (direct):
Na1 0.000 0.000 0.000
Sr1 0.500 0.500 0.500
Be1 0.249 0.249 0.249
Be2 0.751 0.751 0.751
H1 0.064 0.539 0.573
H2 0.176 0.176 0.176
H3 0.427 0.461 0.936
H4 0.461 0.936 0.427
H5 0.539 0.573 0.064
H6 0.573 0.064 0.539
H7 0.824 0.824 0.824
H8 0.936 0.427 0.461

## Properties
Its density of states at the Fermi level is 4.21 states/eV per cell. For the total energy, the calculation gives -38.20 eV/cell. The size of the total moment is 0.731 Bohr magnetons per cell. The symmetry is R32, No. 155.

***

(5)
A plane-wave DFT calculation with PBE-GGA was carried out for CaMg3Zn after structural relaxation.

Cell lengths 7.352, 7.352, 7.352 Å; angles 145.59, 145.59, 49.46 degrees
Positions (direct):
Ca1 0.000 0.000 0.000
Mg1 0.282 0.782 0.500
Mg2 0.619 0.619 0.000
Mg3 0.782 0.282 0.500
Zn1 0.417 0.417 0.000

## Properties
For the energy above the most stable polymorph in this dataset, the calculation gives 51 meV per atom. Its density of states at the Fermi level is 3.31 states/eV per cell. The size of the total moment is 0.000 Bohr magnetons per cell. The symmetry is I4mm, No. 107.

***

(6)
A plane-wave DFT calculation with PBE-GGA was carried out for CoRu after structural relaxation.

Cell lengths 3.709, 3.709, 5.782 Å; angles 90.00, 90.00, 120.00 degrees
Positions (direct):
Co1 0.333 0.667 0.000
Co2 0.667 0.333 0.500
Ru1 0.333 0.667 0.389
Ru2 0.667 0.333 0.889

## Properties
Its density of states at the Fermi level is 4.06 states/eV per cell. For the total energy, the calculation gives -27.95 eV/cell. The size of the total moment is 0.000 Bohr magnetons per cell. The symmetry is P6_3mc, No. 186.